Record 1
Computed, not measured: a relaxed RuPt crystal at the GGA-PBE level of DFT.

The structure belongs to space group P4/m (No. 83); the cell edges are 8.445, 8.445 and 3.771 Å and the angles 90.00°, 90.00° and 90.00°. The inequivalent atoms are Ru at (0.097, 0.801, 0.000), Ru at (0.199, 0.605, 0.500), Pt at (0.091, 0.299, 0.500) and Pt at (0.297, 0.407, 0.000).

***

Record 2
Computed, not measured: a relaxed ZrNb2Fe crystal at the GGA-PBE level of DFT.

The calculation puts the polymorph energy (0 for the lowest one) at 109.6 meV/atom.

The structure belongs to space group Fm-3m (No. 225); the cell edges are 6.462, 6.462 and 6.462 Å and the angles 90.00°, 90.00° and 90.00°. The inequivalent atoms are Zr at (0.000, 0.000, 0.000), Nb at (0.250, 0.250, 0.250) and Fe at (0.000, 0.000, 0.500).

***

Record 3
Computed, not measured: a relaxed NbIr3W crystal at the GGA-PBE level of DFT.

The calculation puts the polymorph energy (0 for the lowest one) at 0.0 meV/atom.

The structure belongs to space group Pm-3m (No. 221); the cell edges are 4.700, 4.700 and 4.700 Å and the angles 90.00°, 90.00° and 90.00°. The inequivalent atoms are Nb at (0.000, 0.000, 0.000), Ir at (0.000, 0.500, 0.500) and W at (0.500, 0.500, 0.500).

***

Record 4
Computed, not measured: a relaxed LaTb3Al8 crystal at the GGA-PBE level of DFT.

The calculation puts the polymorph energy (0 for the lowest one) at 0.0 meV/atom.

The structure belongs to space group R3m (No. 160, hexagonal axes); the cell edges are 5.6121, 5.6121 and 27.6603 Å and the angles 90.00°, 90.00° and 120.00°. The inequivalent atoms are La at (0.0000, 0.0000, 0.0000), Tb at (0.0000, 0.0000, 0.3750), Tb at (0.0000, 0.0000, 0.4994), Tb at (0.0000, 0.0000, 0.8751), Al at (0.0000, 0.0000, 0.1870), Al at (0.0000, 0.0000, 0.6878), Al at (0.0010, 0.5005, 0.4388) and Al at (0.1671, 0.3342, 0.2691).

***

Record 5
Computed, not measured: a relaxed Ca2TlZn crystal at the GGA-PBE level of DFT.

The structure belongs to space group I-42d (No. 122); the cell edges are 8.383, 8.383 and 7.098 Å and the angles 90.00°, 90.00° and 90.00°. The inequivalent atoms are Ca at (0.230, 0.750, 0.125), Tl at (0.000, 0.000, 0.500) and Zn at (0.000, 0.000, 0.000).

***

Record 6
Computed, not measured: a relaxed AlSn3Pt12 crystal at the GGA-PBE level of DFT.

The structure belongs to space group P4/mmm (No. 123); the cell edges are 4.024, 4.024 and 16.109 Å and the angles 90.00°, 90.00° and 90.00°. The inequivalent atoms are Al at (0.000, 0.000, 0.000), Sn at (0.000, 0.000, 0.244), Sn at (0.000, 0.000, 0.500), Pt at (0.000, 0.500, 0.117), Pt at (0.000, 0.500, 0.373), Pt at (0.500, 0.500, 0.000), Pt at (0.500, 0.500, 0.246) and Pt at (0.500, 0.500, 0.500).

***

Record 7
Computed, not measured: a relaxed Tb2CeUP4 crystal at the GGA-PBE level of DFT.

The structure belongs to space group P2/m (No. 10); the cell edges are 6.959, 4.008 and 6.974 Å and the angles 90.00°, 109.32° and 90.00°. The inequivalent atoms are Tb at (0.000, 0.000, 0.000), Tb at (0.500, 0.500, 0.000), Ce at (0.000, 0.500, 0.500), U at (0.500, 0.000, 0.500), P at (0.256, 0.000, 0.748) and P at (0.257, 0.500, 0.254).

***

Record 8
Computed, not measured: a relaxed PuBIr3 crystal at the GGA-PBE level of DFT.

The structure belongs to space group P2_1/m (No. 11); the cell edges are 4.702, 5.678 and 5.716 Å and the angles 90.00°, 97.22° and 90.00°. The inequivalent atoms are Pu at (0.007, 0.250, 0.446), B at (0.359, 0.750, 0.967), Ir at (0.059, 0.250, 0.945) and Ir at (0.464, 0.503, 0.250).

***

Number 1: energy of formation 0.3694 eV per atom, density of states at the Fermi level 21.3 states/eV per cell. Number 2: energy of formation 0.1532 eV per atom, density of states at the Fermi level 19.6 states/eV per cell. Number 3: energy of formation 1.5721 eV per atom, density of states at the Fermi level 8.8 states/eV per cell. Number 4: energy of formation -0.5050 eV per atom, density of states at the Fermi level 29.4 states/eV per cell. Number 5: energy of formation -0.0499 eV per atom, density of states at the Fermi level 17.1 states/eV per cell. Number 6: energy of formation -0.4792 eV per atom, density of states at the Fermi level 7.3 states/eV per cell. Number 7: energy of formation -1.4171 eV per atom, density of states at the Fermi level 10.8 states/eV per cell. Number 8: energy of formation -0.2575 eV per atom, density of states at the Fermi level 18.0 states/eV per cell.